[1]
A relaxed HgIr2Ru crystal, computed with PBE.

a = 2.793 Å, b = 2.793 Å, c = 9.657 Å
α = 90.00°, β = 90.00°, γ = 120.49°
Site moments in Bohr magnetons follow the coordinates.
Fractional positions:
Hg  0.500  0.500  0.749  0.00
Ir  0.000  0.000  0.015  0.03
Ir  0.500  0.500  0.252  0.07
Ru  0.000  0.000  0.484  0.67

Space-group type: No. 35
Calculated formation energy: 0.55 eV per atom
Density of states at the Fermi level: 5.5 states/eV per cell

***

[2]
A relaxed MgCr2Tc crystal, computed with PBE.

a = 4.174 Å, b = 2.586 Å, c = 5.148 Å
α = 79.80°, β = 90.00°, γ = 90.00°
Fractional positions:
Cr  0.000  0.003  0.004
Cr  0.500  0.219  0.241
Mg  0.000  0.491  0.495
Tc  0.500  0.787  0.759

Space-group type: No. 6
Calculated formation energy: 0.32 eV per atom
Density of states at the Fermi level: 4.3 states/eV per cell

***

[3]
A relaxed LiTeRh crystal, computed with PBE.

a = 4.461 Å, b = 4.461 Å, c = 3.193 Å
α = 90.00°, β = 90.00°, γ = 120.00°
Fractional positions:
Li  0.000  0.000  0.000
Rh  0.667  0.333  0.500
Te  0.333  0.667  0.500

Space-group type: No. 187
Energy relative to the elements, uncorrected: -0.385 eV per atom
Distance to the lowest polymorph of the same formula: 178.5 meV/atom
Density of states at the Fermi level: 2.5 states/eV per cell

***

[4]
A relaxed La2Tb8Nd3 crystal, computed with PBE.

a = 6.284 Å, b = 6.266 Å, c = 11.985 Å
α = 69.69°, β = 85.15°, γ = 80.41°
Fractional positions:
La  0.769  0.847  0.538
La  0.231  0.153  0.462
Tb  0.076  0.384  0.154
Tb  0.924  0.616  0.846
Tb  0.155  0.770  0.307
Tb  0.845  0.230  0.693
Tb  0.384  0.922  0.770
Tb  0.308  0.536  0.617
Tb  0.692  0.464  0.383
Tb  0.616  0.078  0.230
Nd  0.000  0.000  0.000
Nd  0.463  0.308  0.923
Nd  0.537  0.692  0.077

Space-group type: No. 2
Calculated formation energy: 0.02 eV per atom
Distance to the lowest polymorph of the same formula: 0.0 meV/atom
Density of states at the Fermi level: 19.9 states/eV per cell

***

[5]
A relaxed LiTc2Pb crystal, computed with PBE.

a = 4.962 Å, b = 4.962 Å, c = 4.667 Å
α = 81.36°, β = 81.36°, γ = 36.61°
Fractional positions:
Li  0.750  0.750  0.750
Pb  0.250  0.250  0.250
Tc  0.002  0.002  0.952
Tc  0.498  0.498  0.548

Space-group type: No. 12
Calculated formation energy: 0.43 eV per atom
Density of states at the Fermi level: 2.5 states/eV per cell

***

[6]
A relaxed AcGe4Ir crystal, computed with PBE.

a = 6.487 Å, b = 6.960 Å, c = 6.619 Å
α = 96.49°, β = 119.35°, γ = 90.01°
Fractional positions:
Ac  0.898  0.750  0.000
Ac  0.102  0.250  0.000
Ge  0.549  0.095  0.886
Ge  0.664  0.405  0.114
Ge  0.451  0.905  0.114
Ge  0.336  0.595  0.886
Ge  0.873  0.859  0.507
Ge  0.366  0.641  0.492
Ge  0.127  0.141  0.493
Ge  0.634  0.359  0.508
Ir  0.500  0.000  0.500
Ir  0.000  0.500  0.500

Space-group type: No. 15
Calculated formation energy: -0.42 eV per atom
Density of states at the Fermi level: 6.8 states/eV per cell

***

[7]
A relaxed BePdSe3 crystal, computed with PBE.

a = 4.549 Å, b = 4.549 Å, c = 4.549 Å
α = 90.00°, β = 90.00°, γ = 90.00°
Fractional positions:
Be  0.000  0.000  0.000
Se  0.000  0.500  0.000
Se  0.000  0.000  0.500
Se  0.500  0.000  0.000
Pd  0.500  0.500  0.500

Space-group type: No. 221
Energy relative to the elements, uncorrected: 0.412 eV per atom
Distance to the lowest polymorph of the same formula: 0.0 meV/atom
Density of states at the Fermi level: 5.2 states/eV per cell

***

[8]
A relaxed Ac2SmGa2 crystal, computed with PBE.

a = 4.953 Å, b = 6.800 Å, c = 10.326 Å
α = 82.34°, β = 76.12°, γ = 68.64°
Fractional positions:
Ac  0.310  0.281  0.098
Ac  0.484  0.351  0.680
Ac  0.690  0.719  0.902
Ac  0.516  0.649  0.320
Sm  0.789  0.064  0.357
Sm  0.211  0.936  0.643
Ga  0.969  0.156  0.907
Ga  0.127  0.314  0.432
Ga  0.031  0.844  0.093
Ga  0.873  0.686  0.568

Space-group type: No. 12
Calculated formation energy: -0.42 eV per atom
Distance to the lowest polymorph of the same formula: 0.0 meV/atom
Density of states at the Fermi level: 7.8 states/eV per cell